DFT (PBE) results for a relaxed structure of ScInSnRu.

```
ScInSnRu
1.0
0.000 3.363 3.363
3.363 0.000 3.363
3.363 3.363 0.000
Sc In Sn Ru
1 1 1 1
Direct
0.000 0.000 0.000
0.250 0.250 0.250
0.750 0.750 0.750
0.500 0.500 0.500
```

## Properties
N(E_F) ... 1.86 states/eV/cell
E ... -5.850 eV/atom
Size of the total moment ... 0.000 μB per atom
Density ... 8.29 g/cm³
Energy relative to the elements ... -263 meV per atom

***

DFT (PBE) results for a relaxed structure of TbScInRu.

```
TbScInRu
1.0
0.000 3.491 3.491
3.491 0.000 3.491
3.491 3.491 0.000
Tb Sc In Ru
1 1 1 1
Direct
0.000 0.000 0.000
0.500 0.500 0.500
0.750 0.750 0.750
0.250 0.250 0.250
```

## Properties
N(E_F) ... 3.37 states/eV/cell
E ... -6.093 eV/atom
Energy above the most stable polymorph in this dataset ... 14.9 kJ/mol of atoms
Size of the total moment ... 0.000 μB per atom
Density ... 8.19 g/cm³
Energy relative to the elements ... -349 meV per atom

***

DFT (PBE) results for a relaxed structure of TbScInRu.

```
TbScInRu
1.0
3.366 0.000 0.000
0.000 3.366 0.000
0.000 0.000 7.625
Tb Sc In Ru
1 1 1 1
Direct
0.000 0.000 0.000
0.000 0.000 0.580
0.500 0.500 0.312
0.500 0.500 0.766
```

## Properties
N(E_F) ... 3.15 states/eV/cell
E ... -6.247 eV/atom
Energy above the most stable polymorph in this dataset ... 0.0 kJ/mol of atoms
Size of the total moment ... 0.000 μB per atom
Density ... 8.07 g/cm³
Energy relative to the elements ... -503 meV per atom